{"formula": "Cs2KLiSe", "functional": "PBE", "state": "relaxed", "cell": [[7.553, 0.000, 0.000], [0.000, 7.553, 0.000], [0.000, 0.000, 4.938]], "species": ["Cs", "Se", "Cs", "Li", "K"], "fractional_positions": [[0.000, 0.500, 0.000], [0.000, 0.000, 0.000], [0.500, 0.000, 0.000], [0.000, 0.000, 0.500], [0.500, 0.500, 0.500]], "e_tot_ev_per_atom": -2.186, "magnetic_moment_mub_per_cell": 0.000, "space_group": "No. 123"}